[1]
La3TbYEr after structural relaxation. Source: the Alexandria database, functional PBE.

Cell: 3.6492 10.9550 10.9286 Å, 109.58 90.00 90.00°
Last column: nearest neighbours and their distance in Å.
Fractional coordinates of all 12 atoms:
1 Er 0.2500 0.1206 0.6225  3 Tb 3.56-3.57, 4 Er 3.57-3.65, 3 La 3.61-3.63, 2 Y 3.66
2 Er 0.7500 0.8794 0.3775  3 Tb 3.56-3.57, 4 Er 3.57-3.65, 3 La 3.61-3.63, 2 Y 3.66
3 La 0.7500 0.3755 0.2066  3 Y 3.63-3.65, 7 La 3.65-3.68, 2 Tb 3.73
4 La 0.7500 0.8761 0.0461  3 Tb 3.61-3.75, 1 Er 3.61, 2 Y 3.62, 6 La 3.65-3.68
5 La 0.2500 0.1239 0.9539  3 Tb 3.61-3.75, 1 Er 3.61, 2 Y 3.62, 6 La 3.65-3.68
6 La 0.7500 0.3703 0.5420  1 Y 3.61, 2 Tb 3.63, 2 Er 3.63, 7 La 3.65-3.74
7 La 0.2500 0.6297 0.4580  1 Y 3.61, 2 Tb 3.63, 2 Er 3.63, 7 La 3.65-3.74
8 La 0.2500 0.6245 0.7934  3 Y 3.63-3.65, 7 La 3.65-3.68, 2 Tb 3.73
9 Tb 0.7500 0.8801 0.7048  3 Er 3.56-3.57, 7 La 3.61-3.75, 2 Tb 3.65
10 Tb 0.2500 0.1199 0.2952  3 Er 3.56-3.57, 7 La 3.61-3.75, 2 Tb 3.65
11 Y 0.7500 0.3720 0.8731  6 La 3.61-3.65, 4 Y 3.65-3.70, 2 Er 3.66
12 Y 0.2500 0.6280 0.1269  6 La 3.61-3.65, 4 Y 3.65-3.70, 2 Er 3.66


[2]
Nb6Ru3Rh after structural relaxation. Source: the Alexandria database, functional PBE.

Cell: 7.5272 5.4600 8.5420 Å, 90.00 89.12 90.00°
Last column: nearest neighbours and their distance in Å.
Fractional coordinates of all 20 atoms:
1 Nb 0.3049 0.1961 0.7501  1 Ru 2.64, 2 Nb 2.85
2 Nb 0.1638 0.4155 0.4314  2 Ru 2.52-2.64, 1 Rh 2.65
3 Nb 0.6638 0.0845 0.9314  2 Ru 2.52-2.64, 1 Rh 2.65
4 Nb 0.6951 0.8039 0.2499  1 Ru 2.64, 2 Nb 2.85
5 Nb 0.3330 0.9193 0.4362  2 Ru 2.54-2.60, 1 Rh 2.67
6 Nb 0.1670 0.4193 0.0638  2 Ru 2.54-2.60, 1 Rh 2.67
7 Nb 0.8362 0.5845 0.5686  2 Ru 2.52-2.64, 1 Rh 2.65
8 Nb 0.8330 0.5807 0.9362  2 Ru 2.54-2.60, 1 Rh 2.67
9 Nb 0.8049 0.3039 0.2501  1 Ru 2.64, 2 Nb 2.85
10 Nb 0.1951 0.6961 0.7499  1 Ru 2.64, 2 Nb 2.85
11 Nb 0.3362 0.9155 0.0686  2 Ru 2.52-2.64, 1 Rh 2.65
12 Nb 0.6670 0.0807 0.5638  2 Ru 2.54-2.60, 1 Rh 2.67
13 Rh 0.5000 0.5000 0.5000  2 Ru 2.60, 4 Nb 2.65-2.67
14 Rh 0.0000 0.0000 0.0000  2 Ru 2.60, 4 Nb 2.65-2.67
15 Ru 0.5000 0.5000 0.0000  2 Ru 2.57, 4 Nb 2.60-2.64
16 Ru 0.0421 0.7388 0.2517  3 Nb 2.52-2.64, 1 Ru 2.57, 1 Rh 2.60
17 Ru 0.9579 0.2612 0.7483  3 Nb 2.52-2.64, 1 Ru 2.57, 1 Rh 2.60
18 Ru 0.5421 0.7612 0.7517  3 Nb 2.52-2.64, 1 Ru 2.57, 1 Rh 2.60
19 Ru 0.4579 0.2388 0.2483  3 Nb 2.52-2.64, 1 Ru 2.57, 1 Rh 2.60
20 Ru 0.0000 0.0000 0.5000  2 Ru 2.57, 4 Nb 2.60-2.64


These records have DFT total energy values of -5.049; -9.476 eV per atom, in the order they appear.